! HfZrCS | OQMD | PBE | optimized geometry; values from VASP
&SYSTEM
  ibrav = 0, nat = 8, ntyp = 4
/
ATOMIC_SPECIES
C 12.01 C.upf
Hf 178.49 Hf.upf
S 32.06 S.upf
Zr 91.22 Zr.upf
CELL_PARAMETERS angstrom
-2.188 2.117 -1.520
-0.031 -3.316 -0.764
-8.074 -1.971 8.880
ATOMIC_POSITIONS angstrom
C -2.067 -0.504 2.273
C -6.008 -1.466 6.607
Hf -3.586 -2.197 2.102
Hf -5.989 -2.784 4.745
S -0.750 -1.505 -1.016
S -5.506 -0.679 3.172
Zr -2.684 0.010 0.068
Zr -8.329 -1.368 6.276
! Calculated total energy: -9.308 eV/atom
! Calculated density: 8.543 Mg/m³
! Volume: 15.2 Å³/atom
! Excess energy over the best structure of this formula in the dataset: 0.002 eV per atom